5
Lattice="-2.882 4.340 -0.341 -3.005 -2.279 -3.610 -3.150 -1.797 3.756" Properties=species:S:1:pos:R:3 comment="PBE-GGA NaAg3I, relaxed" crystal_system=cubic formation_energy_uncorrected_ev_per_atom=0.6552 relative_energy_mev_per_atom=42 spacegroup="Pm-3m, No. 221" pbc="T T T"
Na 0.000 0.000 0.000
Ag -1.441 2.170 -0.170
Ag -1.575 -0.898 1.878
I -4.518 0.132 -0.098
Ag -1.502 -1.139 -1.805